This record from Alexandria describes an optimized crystal structure of CaTc2Ni. The functional is PBEsol.

a = 2.6220 Å, b = 2.6220 Å, c = 8.6814 Å
α = 90.00°, β = 90.00°, γ = 90.00°
Last column: nearest neighbours and their distance in Å.
Space group P4/mmm (No. 123)
Unique sites:
Ca 0.0000 0.0000 0.0000 (multiplicity 1)  4 Ca 2.62
Tc 0.5000 0.5000 0.2920 (multiplicity 2)  4 Ni 2.59, 4 Tc 2.62
Ni 0.0000 0.0000 0.5000 (multiplicity 1)  8 Tc 2.59, 4 Ni 2.62

=====

This record from Alexandria describes an optimized crystal structure of CaTc2Ni. The functional is PBEsol.

a = 3.0522 Å, b = 3.0522 Å, c = 7.0345 Å
α = 90.00°, β = 90.00°, γ = 90.00°
Last column: nearest neighbours and their distance in Å.
Space group P4mm (No. 99)
Unique sites:
Ca 0.0000 0.0000 0.0000 (multiplicity 1)  4 Ni 2.97, 4 Ca 3.05, 4 Tc 3.15
Tc 0.0000 0.0000 0.4911 (multiplicity 1)  4 Tc 2.51, 4 Ni 2.58
Tc 0.5000 0.5000 0.6740 (multiplicity 1)  4 Tc 2.51, 1 Ni 2.71
Ni 0.5000 0.5000 0.2890 (multiplicity 1)  5 Tc 2.58-2.71

=====

This record from Alexandria describes an optimized crystal structure of CaTcNi2. The functional is PBEsol.

a = 6.4948 Å, b = 6.5249 Å, c = 2.6617 Å
α = 90.00°, β = 90.00°, γ = 90.00°
Last column: nearest neighbours and their distance in Å.
Space group Cmmm (No. 65)
Unique sites:
Ca 0.0000 0.0000 0.0000 (multiplicity 2)  8 Ni 2.66, 2 Ca 2.66
Tc 0.0000 0.5000 0.0000 (multiplicity 2)  8 Ni 2.66, 2 Tc 2.66
Ni 0.2500 0.2500 0.5000 (multiplicity 4)  4 Tc 2.66, 4 Ca 2.66, 2 Ni 2.66

=====

This record from Alexandria describes an optimized crystal structure of Ca2TcNi. The functional is PBEsol.

a = 2.8688 Å, b = 3.0707 Å, c = 8.4214 Å
α = 90.00°, β = 90.00°, γ = 90.00°
Last column: nearest neighbours and their distance in Å.
Space group Pmmm (No. 47)
Unique sites:
Ca 0.0000 0.0000 0.2289 (multiplicity 2)  4 Ni 2.85, 4 Ca 2.87-3.07, 4 Tc 3.10
Tc 0.5000 0.5000 0.5000 (multiplicity 1)  4 Tc 2.87-3.07, 8 Ca 3.10
Ni 0.5000 0.5000 0.0000 (multiplicity 1)  8 Ca 2.85, 4 Ni 2.87-3.07

=====

This record from Alexandria describes an optimized crystal structure of CaTcNi2. The functional is PBEsol.

a = 6.0804 Å, b = 6.0804 Å, c = 6.0804 Å
α = 90.00°, β = 90.00°, γ = 90.00°
Last column: nearest neighbours and their distance in Å.
Space group F-43m (No. 216)
Unique sites:
Ca 0.0000 0.0000 0.0000 (multiplicity 4)  4 Ni 2.63, 4 Tc 2.63
Tc 0.2500 0.2500 0.2500 (multiplicity 4)  4 Ni 2.63, 4 Ca 2.63
Ni 0.0000 0.0000 0.5000 (multiplicity 4)  4 Tc 2.63, 4 Ni 2.63
Ni 0.2500 0.2500 0.7500 (multiplicity 4)  4 Ni 2.63, 4 Ca 2.63

=====

This record from Alexandria describes an optimized crystal structure of Ca2TcNi. The functional is PBEsol.

a = 6.6939 Å, b = 6.6939 Å, c = 6.6939 Å
α = 90.00°, β = 90.00°, γ = 90.00°
Last column: nearest neighbours and their distance in Å.
Space group F-43m (No. 216)
Unique sites:
Ca 0.0000 0.0000 0.0000 (multiplicity 4)  4 Tc 2.90, 4 Ca 2.90
Ca 0.2500 0.2500 0.2500 (multiplicity 4)  4 Ni 2.90, 4 Ca 2.90
Tc 0.2500 0.2500 0.7500 (multiplicity 4)  4 Ni 2.90, 4 Ca 2.90
Ni 0.0000 0.0000 0.5000 (multiplicity 4)  4 Tc 2.90, 4 Ca 2.90

=====

This record from Alexandria describes an optimized crystal structure of CaNiTe2. The functional is PBEsol.

a = 7.6169 Å, b = 7.6169 Å, c = 6.6282 Å
α = 90.00°, β = 90.00°, γ = 90.00°
Last column: nearest neighbours and their distance in Å.
Space group I-42d (No. 122)
Unique sites:
Ca 0.0000 0.0000 0.0000 (multiplicity 4)  8 Te 3.24-3.40, 2 Ni 3.31
Ni 0.0000 0.0000 0.5000 (multiplicity 4)  4 Te 2.46
Te 0.1739 0.7500 0.6250 (multiplicity 8)  2 Ni 2.46

=====

This record from Alexandria describes an optimized crystal structure of CaNiTe2. The functional is PBEsol.

a = 4.0216 Å, b = 4.2275 Å, c = 12.4286 Å
α = 90.00°, β = 90.00°, γ = 90.00°
Last column: nearest neighbours and their distance in Å.
Space group Amm2 (No. 38)
Unique sites:
Ca 0.0000 0.0000 0.0000 (multiplicity 2)  4 Ni 3.16, 6 Te 3.16-3.30
Ni 0.5000 0.0000 0.5970 (multiplicity 2)  3 Te 2.41
Te 0.0000 0.0000 0.7039 (multiplicity 2)  2 Ni 2.41
Te 0.5000 0.0000 0.4029 (multiplicity 2)  1 Ni 2.41

=====

Taking the records one at a time from the top gives final energy values of -7.276 -7.434 -6.152 -4.868 -5.823 -4.755 -4.563 -4.460 eV per atom.